VASP calculation (PBE) on a relaxed structure of V2ZnAgBi. Values from VASP.

Quantum ESPRESSO input file:
```
&SYSTEM
  ibrav = 0, nat = 5, ntyp = 4
/
ATOMIC_SPECIES
V 50.94 V.upf
Zn 65.41 Zn.upf
Bi 208.98 Bi.upf
Ag 107.87 Ag.upf
ATOMIC_POSITIONS angstrom
V -1.674 -0.011 -1.740
Zn 0.000 0.000 0.000
V 1.708 -0.472 -1.640
Bi -0.357 -2.542 0.360
Ag -0.323 -3.025 -3.020
CELL_PARAMETERS angstrom
-3.349 -0.023 -3.480
3.416 -0.944 -3.281
-0.713 -5.083 0.720
```

Summary:
- DFT total energy (eV per atom) = -4.11
- SG = P4/mmm (123)
- ΔE_f (meV per atom) = 1138

=====

VASP calculation (PBE) on a relaxed structure of Ag3BiW. Values from VASP.

Quantum ESPRESSO input file:
```
&SYSTEM
  ibrav = 0, nat = 5, ntyp = 3
/
ATOMIC_SPECIES
Ag 107.87 Ag.upf
Bi 208.98 Bi.upf
W 183.84 W.upf
ATOMIC_POSITIONS angstrom
Ag -1.096 -0.719 2.181
Bi -1.632 2.732 3.050
W 0.000 0.000 0.000
Ag 1.334 1.768 1.253
Ag -1.869 1.683 -0.385
CELL_PARAMETERS angstrom
-3.739 3.367 -0.769
-2.192 -1.438 4.362
2.668 3.536 2.507
```

Summary:
- excess energy over the best structure of this formula in the dataset (meV/atom) = 0
- DFT total energy (eV per atom) = -3.56
- SG = Pm-3m (221)
- ΔE_f (meV per atom) = 1517

=====

VASP calculation (PBE) on a relaxed structure of AgBi3W. Values from VASP.

Quantum ESPRESSO input file:
```
&SYSTEM
  ibrav = 0, nat = 5, ntyp = 3
/
ATOMIC_SPECIES
Bi 208.98 Bi.upf
Ag 107.87 Ag.upf
W 183.84 W.upf
ATOMIC_POSITIONS angstrom
Bi 0.471 -2.324 1.294
Bi -1.447 -1.326 -1.856
Ag 1.256 -4.020 -2.039
W 0.000 0.000 0.000
Bi 2.232 -0.369 -1.476
CELL_PARAMETERS angstrom
-2.894 -2.653 -3.712
4.464 -0.738 -2.953
0.942 -4.649 2.587
```

Summary:
- excess energy over the best structure of this formula in the dataset (meV/atom) = 0
- DFT total energy (eV per atom) = -4.63
- SG = Pm-3m (221)
- ΔE_f (meV per atom) = 859

=====

VASP calculation (PBE) on a relaxed structure of AgBi3W. Values from VASP.

Quantum ESPRESSO input file:
```
&SYSTEM
  ibrav = 0, nat = 5, ntyp = 3
/
ATOMIC_SPECIES
Bi 208.98 Bi.upf
W 183.84 W.upf
Ag 107.87 Ag.upf
ATOMIC_POSITIONS angstrom
Bi 1.093 -2.457 0.324
W -0.670 -2.795 3.707
Bi 0.634 0.619 2.559
Ag 0.000 0.000 0.000
Bi -2.396 -0.957 0.824
CELL_PARAMETERS angstrom
-4.792 -1.914 1.649
2.185 -4.914 0.647
1.267 1.238 5.119
```

Summary:
- excess energy over the best structure of this formula in the dataset (meV/atom) = 674
- DFT total energy (eV per atom) = -3.96
- SG = Pm-3m (221)
- ΔE_f (meV per atom) = 1533

=====

VASP calculation (PBE) on a relaxed structure of Ag3BiW. Values from VASP.

Quantum ESPRESSO input file:
```
&SYSTEM
  ibrav = 0, nat = 5, ntyp = 3
/
ATOMIC_SPECIES
Ag 107.87 Ag.upf
Bi 208.98 Bi.upf
W 183.84 W.upf
ATOMIC_POSITIONS angstrom
Ag 0.000 0.000 2.668
Bi 0.000 0.000 0.000
Ag 2.668 0.000 0.000
W 2.668 2.668 2.668
Ag 0.000 2.668 0.000
CELL_PARAMETERS angstrom
5.336 0.000 0.000
0.000 5.336 0.000
0.000 0.000 5.336
```

Summary:
- excess energy over the best structure of this formula in the dataset (meV/atom) = 238
- DFT total energy (eV per atom) = -3.32
- SG = Pm-3m (221)
- ΔE_f (meV per atom) = 1754

=====

VASP calculation (PBE) on a relaxed structure of Y5Ag2Bi. Values from VASP.

Quantum ESPRESSO input file:
```
&SYSTEM
  ibrav = 0, nat = 16, ntyp = 3
/
ATOMIC_SPECIES
Bi 208.98 Bi.upf
Y 88.91 Y.upf
Ag 107.87 Ag.upf
ATOMIC_POSITIONS angstrom
Bi -2.169 -2.498 0.140
Y -2.096 -4.228 3.062
Y -0.943 -5.457 -0.990
Y -5.377 1.720 -6.968
Y -2.268 -0.887 -5.294
Ag -2.326 1.619 -7.141
Bi -5.304 -0.011 -4.046
Y 0.000 0.000 0.000
Y -6.530 2.948 -2.915
Y -3.134 2.487 -4.186
Y -5.205 -1.622 1.388
Ag -0.868 0.585 -3.007
Y -4.052 -2.850 -2.665
Ag -5.400 4.389 -5.365
Y -3.421 0.342 -1.241
Ag -3.943 3.355 -1.231
CELL_PARAMETERS angstrom
-6.187 5.362 -0.193
-0.082 -0.388 -8.180
-1.204 -7.483 4.467
```

Summary:
- DFT total energy (eV per atom) = -5.63
- SG = I4/mcm (140)
- ΔE_f (meV per atom) = -395

=====

VASP calculation (PBE) on a relaxed structure of YAg2Bi2. Values from VASP.

Quantum ESPRESSO input file:
```
&SYSTEM
  ibrav = 0, nat = 10, ntyp = 3
/
ATOMIC_SPECIES
Y 88.91 Y.upf
Ag 107.87 Ag.upf
Bi 208.98 Bi.upf
ATOMIC_POSITIONS angstrom
Y 0.000 0.000 0.000
Ag 3.105 1.146 1.809
Bi 5.634 1.383 0.000
Bi 2.868 7.118 0.000
Ag 5.396 7.356 1.809
Ag 7.356 3.105 1.809
Bi 1.383 2.868 0.000
Ag 1.146 5.396 1.809
Y 4.251 4.251 0.000
Bi 7.118 5.634 0.000
CELL_PARAMETERS angstrom
8.502 0.000 0.000
0.000 8.502 0.000
0.000 0.000 3.617
```

Summary:
- excess energy over the best structure of this formula in the dataset (meV/atom) = 98
- DFT total energy (eV per atom) = -4.08
- SG = P4/mbm (127)
- ΔE_f (meV per atom) = -99

=====

VASP calculation (PBE) on a relaxed structure of YAg2Bi2. Values from VASP.

Quantum ESPRESSO input file:
```
&SYSTEM
  ibrav = 0, nat = 5, ntyp = 3
/
ATOMIC_SPECIES
Ag 107.87 Ag.upf
Bi 208.98 Bi.upf
Y 88.91 Y.upf
ATOMIC_POSITIONS angstrom
Ag -5.820 -0.057 1.566
Ag -5.467 -2.536 0.064
Bi -3.331 -0.395 -0.130
Y 0.000 0.000 0.000
Bi -7.956 -2.198 1.760
CELL_PARAMETERS angstrom
-2.913 2.922 0.170
-2.208 -2.036 -2.834
-6.166 -3.479 4.294
```

Summary:
- excess energy over the best structure of this formula in the dataset (meV/atom) = 9
- DFT total energy (eV per atom) = -4.17
- SG = I4/mmm (139)
- ΔE_f (meV per atom) = -188

=====

VASP calculation (PBE) on a relaxed structure of YAg2Bi2. Values from VASP.

Quantum ESPRESSO input file:
```
&SYSTEM
  ibrav = 0, nat = 10, ntyp = 3
/
ATOMIC_SPECIES
Bi 208.98 Bi.upf
Ag 107.87 Ag.upf
Y 88.91 Y.upf
ATOMIC_POSITIONS angstrom
Bi 6.643 2.574 1.924
Ag 5.036 0.967 0.000
Y 0.000 0.000 0.000
Ag 7.170 5.036 0.000
Y 4.069 4.069 0.000
Bi 1.495 5.563 1.924
Ag 3.101 7.170 0.000
Bi 2.574 1.495 1.924
Bi 5.563 6.643 1.924
Ag 0.967 3.101 0.000
CELL_PARAMETERS angstrom
8.137 0.000 0.000
0.000 8.137 0.000
0.000 0.000 3.847
```

Summary:
- excess energy over the best structure of this formula in the dataset (meV/atom) = 0
- DFT total energy (eV per atom) = -4.18
- SG = P4/mbm (127)
- ΔE_f (meV per atom) = -197

=====

VASP calculation (PBE) on a relaxed structure of YAg2Bi2. Values from VASP.

Quantum ESPRESSO input file:
```
&SYSTEM
  ibrav = 0, nat = 5, ntyp = 3
/
ATOMIC_SPECIES
Y 88.91 Y.upf
Bi 208.98 Bi.upf
Ag 107.87 Ag.upf
ATOMIC_POSITIONS angstrom
Y 0.000 0.000 0.000
Bi 4.676 2.338 3.140
Ag 2.338 2.338 1.296
Ag 4.676 4.676 4.985
Bi 2.338 4.676 3.140
CELL_PARAMETERS angstrom
4.676 0.000 0.000
0.000 4.676 0.000
2.338 2.338 6.280
```

Summary:
- excess energy over the best structure of this formula in the dataset (meV/atom) = 146
- DFT total energy (eV per atom) = -4.04
- SG = I4/mmm (139)
- ΔE_f (meV per atom) = -51

=====

VASP calculation (PBE) on a relaxed structure of Y3Ag3Bi4. Values from VASP.

Quantum ESPRESSO input file:
```
&SYSTEM
  ibrav = 0, nat = 20, ntyp = 3
/
ATOMIC_SPECIES
Ag 107.87 Ag.upf
Bi 208.98 Bi.upf
Y 88.91 Y.upf
ATOMIC_POSITIONS angstrom
Ag -1.170 1.013 5.637
Ag 0.200 -3.553 5.876
Bi 1.278 -2.171 3.586
Y -5.783 -0.693 -0.499
Ag -6.776 -3.531 -1.350
Y 1.194 -0.715 6.727
Bi -3.241 -2.337 1.184
Ag -0.366 -2.539 1.246
Ag -4.491 -4.412 2.747
Bi -1.987 -1.740 5.378
Bi 1.315 -6.486 2.637
Y -4.412 -5.259 -0.260
Ag -4.144 0.285 1.975
Y -1.439 -4.531 3.402
Y -1.091 0.167 2.630
Y -5.217 -1.706 4.131
Bi -3.829 1.431 4.602
Bi -6.701 2.620 -0.915
Bi -2.618 1.024 -0.357
Bi -0.965 -5.077 0.016
CELL_PARAMETERS angstrom
0.073 -8.631 -1.898
2.510 1.193 8.389
-8.165 3.192 -1.114
```

Summary:
- DFT total energy (eV per atom) = -4.81
- SG = I-43d (220)
- ΔE_f (meV per atom) = -466

=====

VASP calculation (PBE) on a relaxed structure of YAg9Bi2. Values from VASP.

Quantum ESPRESSO input file:
```
&SYSTEM
  ibrav = 0, nat = 12, ntyp = 3
/
ATOMIC_SPECIES
Bi 208.98 Bi.upf
Ag 107.87 Ag.upf
Y 88.91 Y.upf
ATOMIC_POSITIONS angstrom
Bi -3.435 -3.756 9.244
Ag -1.630 -1.598 4.925
Ag -1.884 -1.159 7.708
Y 0.000 0.000 0.000
Ag -2.139 -0.719 10.492
Ag 0.182 0.206 9.078
Bi -0.334 1.439 6.173
Ag -1.408 -3.785 6.770
Ag -2.360 1.468 8.646
Ag -3.950 -2.523 6.339
Ag -0.993 1.798 11.106
Ag -2.776 -4.115 4.311
CELL_PARAMETERS angstrom
-4.603 -1.835 2.805
0.439 -4.339 3.661
0.395 3.857 8.951
```

Summary:
- DFT total energy (eV per atom) = -3.37
- SG = R-3m (166)
- ΔE_f (meV per atom) = -43